(1)
Entry from Alexandria via LeMat-Bulk: TaIn2Tc after structural relaxation (PBE).

## Properties
Formation energy from the elements = 0.459 eV per atom

abc: 4.703 4.703 4.703
angles: 60.00 60.00 60.00
Positions (direct):
In 0.250 0.250 0.250
In 0.750 0.750 0.750
Tc 0.000 0.000 0.000
Ta 0.500 0.500 0.500

(2)
Entry from Alexandria via LeMat-Bulk: Hf2SiGe after structural relaxation (PBE).

## Properties
Formation energy without anion corrections = -56.1 kJ/mol of atoms

abc: 3.833 3.833 6.551
angles: 72.99 72.99 60.00
Positions (direct):
Ge 0.500 0.500 0.500
Hf 0.251 0.251 0.246
Hf 0.749 0.749 0.754
Si 0.000 0.000 0.000

(3)
Entry from Alexandria via LeMat-Bulk: Tl2CrCu after structural relaxation (PBE).

## Properties
Formation energy from the elements = 0.546 eV per atom

abc: 4.834 4.834 5.690
angles: 76.79 76.79 40.46
Positions (direct):
Cr 0.250 0.250 0.250
Cu 0.750 0.750 0.750
Tl 0.007 0.007 0.990
Tl 0.493 0.493 0.510

(4)
Entry from Alexandria via LeMat-Bulk: Sm2TlS after structural relaxation (PBE).

## Properties
Formation energy without anion corrections = -114.7 kJ/mol of atoms

abc: 3.947 3.947 8.355
angles: 76.40 76.40 59.97
Positions (direct):
Sm 0.734 0.734 0.796
Sm 0.266 0.266 0.204
Tl 0.500 0.500 0.500
S 0.000 0.000 0.000

Number 1: energy relative to the lowest polymorph listed for this composition 381 meV per atom. Number 2: energy relative to the lowest polymorph listed for this composition 130 meV per atom. Number 3: energy relative to the lowest polymorph listed for this composition 119 meV per atom. Number 4: energy relative to the lowest polymorph listed for this composition 0 meV per atom.